First-principles (GGA-PBEsol) data for an optimized crystal structure of CaPH4O5F, as listed in Alexandria.

a b c (Å): 5.688 5.912 8.218
angles (deg): 109.33 91.72 113.11
Atoms (fractional coordinates):
Ca (0.022, 0.326, 0.150)
Ca (0.978, 0.674, 0.850)
P (0.449, 0.151, 0.845)
P (0.551, 0.849, 0.155)
H (0.109, 0.867, 0.366)
H (0.183, 0.271, 0.473)
H (0.200, 0.777, 0.511)
H (0.383, 0.199, 0.342)
H (0.617, 0.801, 0.658)
H (0.800, 0.223, 0.489)
H (0.817, 0.729, 0.527)
H (0.891, 0.133, 0.634)
O (0.075, 0.710, 0.399)
O (0.203, 0.189, 0.350)
O (0.253, 0.145, 0.966)
O (0.266, 0.695, 0.068)
O (0.370, 0.871, 0.709)
O (0.630, 0.129, 0.291)
O (0.734, 0.305, 0.932)
O (0.747, 0.855, 0.034)
O (0.797, 0.811, 0.650)
O (0.925, 0.290, 0.601)
F (0.418, 0.316, 0.731)
F (0.582, 0.684, 0.269)

* DFT total energy: -145.7 eV/cell
* DOS(E_F): 0.000 states/eV/cell
* space-group type: No. 2